1.
Below is a PBEsol-optimized structure of TlIn2Pb, with properties calculated at the meta-GGA SCAN level.

Computed properties:
M_tot   0.00 μB per atom
Volume   27.4 Å³/atom
Space-group type   No. 65
DFT formation energy   0.064 eV per atom
Energy   -214.656 eV per cell

abc: 3.3290 3.3290 10.6196
angles: 90.00 90.00 111.54
Last column: nearest neighbours and their distance in Å.
Atoms (fractional coordinates):
Tl  0.5000  0.5000  0.0000  4 In 3.23, 4 Tl 3.33
In  0.0000  0.0000  0.2477  2 Tl 3.23, 2 Pb 3.27, 4 In 3.33
In  0.0000  0.0000  0.7523  2 Tl 3.23, 2 Pb 3.27, 4 In 3.33
Pb  0.5000  0.5000  0.5000  4 In 3.27, 4 Pb 3.33

***

2.
Below is a PBEsol-optimized structure of TlInPb2, with properties calculated at the meta-GGA SCAN level.

Computed properties:
M_tot   0.00 μB per atom
Volume   28.2 Å³/atom
Space-group type   No. 119
DFT formation energy   0.031 eV per atom
Energy   -257.182 eV per cell

abc: 4.7832 4.7832 5.9794
angles: 113.58 113.58 90.00
Last column: nearest neighbours and their distance in Å.
Atoms (fractional coordinates):
Tl  0.5000  0.5000  0.0000  8 Pb 3.38-3.43, 4 In 3.43
In  0.2500  0.7500  0.5000  8 Pb 3.38-3.43, 4 Tl 3.43
Pb  0.0000  0.0000  0.0000  4 Tl 3.38, 4 Pb 3.43, 4 In 3.43
Pb  0.7500  0.2500  0.5000  4 In 3.38, 4 Tl 3.43, 4 Pb 3.43